1.
This record from Alexandria via LeMat-Bulk describes an optimized crystal structure of CrSiTc. The functional is PBE.

Lattice parameters (Å, degrees): 4.8469 4.8469 2.9329 72.39 72.39 35.22
With the nearest neighbours (Å) after each atom.
Atoms (fractional coordinates):
Cr 0.0034 0.0034 0.9966  4 Si 2.50, 4 Tc 2.55
Si 0.6622 0.6622 0.3378  4 Cr 2.50, 4 Tc 2.56
Tc 0.3344 0.3344 0.6656  4 Cr 2.55, 4 Si 2.56

Summary:
- density of states at the Fermi level (states/eV/f.u.) = 2.5
- energy above the most stable polymorph in this dataset (meV per atom) = 96
- formation energy without anion corrections (kJ/mol of formula units) = -86
- calculated volume (Å³/f.u.) = 38
- space-group type = I4mm

***

2.
This record from Alexandria via LeMat-Bulk describes an optimized crystal structure of CrSiTc2. The functional is PBE.

Lattice parameters (Å, degrees): 4.8751 4.8751 4.8751 143.78 128.34 64.71
With the nearest neighbours (Å) after each atom.
Atoms (fractional coordinates):
Cr 0.7500 0.2500 0.5000  4 Tc 2.59, 4 Si 2.61
Si 0.2500 0.7500 0.5000  4 Tc 2.52, 4 Cr 2.61
Tc 0.0057 0.0057 0.0000  2 Si 2.52, 2 Cr 2.59, 4 Tc 2.61
Tc 0.4943 0.4943 0.0000  2 Si 2.52, 2 Cr 2.59, 4 Tc 2.61

Summary:
- density of states at the Fermi level (states/eV/f.u.) = 3.3
- formation energy without anion corrections (kJ/mol of formula units) = -58
- calculated volume (Å³/f.u.) = 53
- space-group type = Immm

***

3.
This record from Alexandria via LeMat-Bulk describes an optimized crystal structure of CrSiTc3. The functional is PBE.

Lattice parameters (Å, degrees): 4.4048 4.4048 4.4048 90.00 90.00 90.00
With the nearest neighbours (Å) after each atom.
Atoms (fractional coordinates):
Cr 0.0000 0.0000 0.0000  6 Tc 2.20
Si 0.5000 0.5000 0.5000  12 Tc 3.11
Tc 0.0000 0.5000 0.0000  2 Cr 2.20
Tc 0.0000 0.0000 0.5000  2 Cr 2.20
Tc 0.5000 0.0000 0.0000  2 Cr 2.20

Summary:
- density of states at the Fermi level (states/eV/f.u.) = 5.3
- energy above the most stable polymorph in this dataset (meV per atom) = 228
- formation energy without anion corrections (kJ/mol of formula units) = 629
- calculated volume (Å³/f.u.) = 85
- space-group type = Pm-3m